Entry 1:
# Ho2FeH4

Ho2FeH4 after structural relaxation (PBE, the Alexandria database).

Cell: 3.390 3.390 7.058 Å, 76.11 76.11 90.00°
Element x y z (fractional)
Ho (0.638, 0.638, 0.724)
Ho (0.362, 0.362, 0.276)
H (0.875, 0.875, 0.250)
H (0.125, 0.125, 0.750)
H (0.000, 0.500, 0.000)
H (0.500, 0.000, 0.000)
Fe (0.000, 0.000, 0.000)

Summary:
space-group type	I4/mmm (139)
VASP energy	-33.5	eV per cell
crystal system	tetragonal
calculated volume	10.9	Å³ per atom



Entry 2:
# Zr3Cu

Zr3Cu after structural relaxation (PBE, the Alexandria database).

Cell: 4.322 4.322 4.322 Å, 90.00 90.00 90.00°
Element x y z (fractional)
Cu (0.000, 0.000, 0.000)
Zr (0.500, 0.000, 0.500)
Zr (0.500, 0.500, 0.000)
Zr (0.000, 0.500, 0.500)

Summary:
ΔH_f (0 K)	32	meV per atom
space-group type	Pm-3m (221)
VASP energy	-29.6	eV per cell
crystal system	cubic
calculated volume	20.2	Å³ per atom



Entry 3:
# LiSi2W

LiSi2W after structural relaxation (PBE, the Alexandria database).

Cell: 4.278 4.278 4.278 Å, 60.00 60.00 60.00°
Element x y z (fractional)
Si (0.750, 0.750, 0.750)
Si (0.250, 0.250, 0.250)
W (0.500, 0.500, 0.500)
Li (0.000, 0.000, 0.000)

Summary:
space-group type	Fm-3m (225)
offset from the most stable computed form	222	meV/atom
VASP energy	-25.1	eV per cell
crystal system	cubic
calculated volume	13.8	Å³ per atom